# 1
Here is a relaxed KAgSe2N crystal from Alexandria. Energies are from PBE-GGA.

Calculated values
- Energy: -3.22 eV per atom
- Space group: P4/mmm (123)
- Energy above the lowest structure with this stoichiometry: 0.000 eV per atom
- M_tot: 2.367 Bohr magnetons per cell
- Formation energy from raw total energies: 628 meV per atom
- Calculated volume: 24.3 Å³ per atom

Cell: 5.360 5.360 4.233 Å, 90.00 90.00 90.00°
Sites, in units of the cell vectors:
K 0.000 0.000 0.000
Ag 0.500 0.500 0.500
Se 0.000 0.500 0.500
Se 0.500 0.000 0.500
N 0.500 0.500 0.000

# 2
Here is a relaxed ZrSi2As crystal from Alexandria. Energies are from PBE-GGA.

Calculated values
- Energy: -6.20 eV per atom
- Space group: C2/m (12)
- Energy above the lowest structure with this stoichiometry: 0.165 eV per atom
- M_tot: 0.000 Bohr magnetons per cell
- Formation energy from raw total energies: -187 meV per atom
- Calculated volume: 18.7 Å³ per atom

Cell: 5.314 5.314 4.104 Å, 90.27 90.27 40.25°
Sites, in units of the cell vectors:
Zr 0.000 0.000 0.000
Si 0.268 0.268 0.191
Si 0.732 0.732 0.809
As 0.500 0.500 0.500

# 3
Here is a relaxed MoPt6Rh8 crystal from Alexandria. Energies are from PBE-GGA.

Calculated values
- Energy: -6.88 eV per atom
- Space group: P3 (143)
- Energy of formation: 2.75 eV per formula unit
- M_tot: 0.000 Bohr magnetons per cell
- Calculated volume: 15.6 Å³ per atom

Cell: 7.404 7.404 4.936 Å, 90.00 90.00 120.00°
Sites, in units of the cell vectors:
Mo 0.000 0.000 0.000
Pt 0.108 0.454 0.118
Pt 0.346 0.892 0.118
Pt 0.472 0.372 0.728
Pt 0.546 0.654 0.118
Pt 0.628 0.100 0.728
Pt 0.900 0.528 0.728
Rh 0.047 0.254 0.619
Rh 0.208 0.953 0.619
Rh 0.298 0.247 0.240
Rh 0.333 0.667 0.609
Rh 0.667 0.333 0.225
Rh 0.746 0.792 0.619
Rh 0.753 0.051 0.240
Rh 0.949 0.702 0.240